(1)
{"formula": "La8CoIr2Rh", "functional": "PBE", "state": "relaxed", "volume_a3_per_cell": 392.4, "dft_energy_ev_per_atom": -6.44, "sg": "No. 10", "lattice_angstrom": [[6.732, 0.000, 0.000], [0.000, 8.544, 0.000], [-0.093, 0.000, 6.823]], "species": ["La", "La", "La", "La", "La", "La", "La", "La", "Co", "Ir", "Ir", "Rh"], "frac_coords": [[0.217, 0.241, 0.169], [0.217, 0.759, 0.169], [0.278, 0.000, 0.678], [0.280, 0.500, 0.671], [0.720, 0.500, 0.329], [0.722, 0.000, 0.322], [0.783, 0.241, 0.831], [0.783, 0.759, 0.831], [0.000, 0.000, 0.000], [0.500, 0.249, 0.500], [0.500, 0.751, 0.500], [0.000, 0.500, 0.000]]}


(2)
{"formula": "Sm2CdI", "functional": "PBE", "state": "relaxed", "polymorph_energy_mev_per_atom": 44, "raw_formation_energy_kj_per_mol_atoms": -46, "volume_a3_per_cell": 116.5, "sg": "No. 123", "lattice_angstrom": [[3.716, 0.000, 0.000], [0.000, 3.716, 0.000], [0.000, 0.000, 8.436]], "species": ["Sm", "Sm", "Cd", "I"], "frac_coords": [[0.000, 0.000, 0.234], [0.000, 0.000, 0.766], [0.500, 0.500, 0.000], [0.500, 0.500, 0.500]]}


(3)
{"formula": "TePPb2W", "functional": "PBE", "state": "relaxed", "raw_formation_energy_kj_per_mol_atoms": 73, "volume_a3_per_cell": 147.0, "sg": "No. 123", "lattice_angstrom": [[5.657, 0.000, 0.000], [0.000, 5.657, 0.000], [0.000, 0.000, 4.595]], "species": ["Te", "P", "Pb", "Pb", "W"], "frac_coords": [[0.000, 0.000, 0.000], [0.500, 0.500, 0.500], [0.000, 0.500, 0.500], [0.500, 0.000, 0.500], [0.500, 0.500, 0.000]]}


(4)
{"formula": "CaHfPO2", "functional": "PBE", "state": "relaxed", "polymorph_energy_mev_per_atom": 0, "raw_formation_energy_kj_per_mol_atoms": -201, "volume_a3_per_cell": 88.3, "sg": "No. 123", "lattice_angstrom": [[4.104, 0.000, 0.000], [0.000, 4.104, 0.000], [0.000, 0.000, 5.243]], "species": ["Ca", "Hf", "P", "O", "O"], "frac_coords": [[0.000, 0.000, 0.000], [0.500, 0.500, 0.500], [0.500, 0.500, 0.000], [0.000, 0.500, 0.500], [0.500, 0.000, 0.500]]}


(5)
{"formula": "HfAlHg3", "functional": "PBE", "state": "relaxed", "polymorph_energy_mev_per_atom": 124, "volume_a3_per_cell": 171.4, "sg": "No. 221", "lattice_angstrom": [[5.555, 0.000, 0.000], [0.000, 5.555, 0.000], [0.000, 0.000, 5.555]], "species": ["Hf", "Al", "Hg", "Hg", "Hg"], "frac_coords": [[0.000, 0.000, 0.000], [0.500, 0.500, 0.500], [0.000, 0.000, 0.500], [0.000, 0.500, 0.000], [0.500, 0.000, 0.000]]}


(6)
{"formula": "Sr2NpTcO6", "functional": "PBE", "state": "relaxed", "raw_formation_energy_kj_per_mol_atoms": -242, "volume_a3_per_cell": 288.9, "sg": "No. 59", "lattice_angstrom": [[5.889, 0.000, 0.000], [0.000, 8.330, 0.000], [0.000, 0.000, 5.890]], "species": ["Sr", "Sr", "Sr", "Sr", "Np", "Np", "Tc", "Tc", "O", "O", "O", "O", "O", "O", "O", "O", "O", "O", "O", "O"], "frac_coords": [[0.250, 0.000, 0.249], [0.250, 0.500, 0.249], [0.750, 0.000, 0.751], [0.750, 0.500, 0.751], [0.250, 0.250, 0.749], [0.750, 0.750, 0.251], [0.250, 0.750, 0.750], [0.750, 0.250, 0.250], [0.005, 0.750, 0.506], [0.006, 0.750, 0.995], [0.250, 0.506, 0.751], [0.250, 0.994, 0.751], [0.494, 0.750, 0.995], [0.495, 0.750, 0.506], [0.505, 0.250, 0.494], [0.506, 0.250, 0.005], [0.750, 0.006, 0.249], [0.750, 0.494, 0.249], [0.994, 0.250, 0.005], [0.995, 0.250, 0.494]]}


(7)
{"formula": "TbNdCoI", "functional": "PBE", "state": "relaxed", "raw_formation_energy_kj_per_mol_atoms": -55, "volume_a3_per_cell": 111.6, "sg": "No. 160", "lattice_angstrom": [[2.002, 1.156, 8.037], [-2.002, 1.156, 8.037], [0.000, -2.311, 8.037]], "species": ["Tb", "Nd", "Co", "I"], "frac_coords": [[0.000, 0.000, 0.000], [0.213, 0.213, 0.213], [0.608, 0.608, 0.608], [0.436, 0.436, 0.436]]}


(8)
{"formula": "LiFeSiS2", "functional": "PBE", "state": "relaxed", "raw_formation_energy_kj_per_mol_atoms": 91, "volume_a3_per_cell": 76.5, "sg": "No. 123", "lattice_angstrom": [[4.367, 0.000, 0.000], [0.000, 4.367, 0.000], [0.000, 0.000, 4.009]], "species": ["Li", "Fe", "Si", "S", "S"], "frac_coords": [[0.000, 0.000, 0.000], [0.000, 0.000, 0.500], [0.500, 0.500, 0.500], [0.000, 0.500, 0.000], [0.500, 0.000, 0.000]]}